Entry 1:
Material: Mn3OF5
Method: DFT, PBE+U
State: relaxed

Values from the calculation:
**Theoretical density**: 3.939 g/cm3
**Crystal system**: triclinic
**Total energy**: -58.490 eV per formula unit

abc: 4.8661 5.8711 8.1467
angles: 92.28 90.11 90.48
Space group P1 (No. 1)
One atom of each set of equivalent atoms:
Mn 0.0000 0.0000 0.0000 (multiplicity 1)
Mn 0.0009 0.3283 0.3145 (multiplicity 1)
Mn 0.4494 0.4752 0.9924 (multiplicity 1)
Mn 0.4778 0.1614 0.6695 (multiplicity 1)
Mn 0.4913 0.8192 0.3375 (multiplicity 1)
Mn 0.9920 0.6277 0.6798 (multiplicity 1)
O 0.1862 0.2863 0.0928 (multiplicity 1)
O 0.2944 0.4308 0.7728 (multiplicity 1)
F 0.1719 0.6242 0.4364 (multiplicity 1)
F 0.1879 0.9302 0.7667 (multiplicity 1)
F 0.2828 0.7848 0.1028 (multiplicity 1)
F 0.2903 0.1225 0.4381 (multiplicity 1)
F 0.6604 0.5134 0.2162 (multiplicity 1)
F 0.6816 0.8617 0.5796 (multiplicity 1)
F 0.6966 0.1794 0.8883 (multiplicity 1)
F 0.7704 0.6834 0.9097 (multiplicity 1)
F 0.7860 0.3548 0.5494 (multiplicity 1)
F 0.7965 0.0187 0.2347 (multiplicity 1)

---

Entry 2:
Material: Mn3OF5
Method: DFT, PBE+U
State: relaxed

Values from the calculation:
**Theoretical density**: 3.936 g/cm3
**Crystal system**: triclinic
**Total energy**: -58.479 eV per formula unit

abc: 4.8853 5.8978 8.0939
angles: 86.86 88.35 88.79
Space group P-1 (No. 2)
One atom of each set of equivalent atoms:
Mn 0.0000 0.0000 0.0000 (multiplicity 1)
Mn 0.0166 0.3145 0.6659 (multiplicity 2)
Mn 0.4779 0.8461 0.6784 (multiplicity 2)
Mn 0.5000 0.5000 0.0000 (multiplicity 1)
O 0.1832 0.0344 0.7843 (multiplicity 2)
F 0.1968 0.7068 0.0959 (multiplicity 2)
F 0.2012 0.3749 0.4239 (multiplicity 2)
F 0.2974 0.2014 0.0997 (multiplicity 2)
F 0.3025 0.5342 0.7656 (multiplicity 2)
F 0.3047 0.8706 0.4369 (multiplicity 2)